A plane-wave DFT calculation with PBE was carried out for crystalline Ba2Li2TaS6 at its relaxed geometry.

Cell lengths 7.2796, 7.2796, 7.2796 Å; angles 59.56, 59.56, 59.56 degrees
Sites, in units of the cell vectors:
Ba 0.2289 0.2289 0.2289
Ba 0.7711 0.7711 0.7711
Li 0.4274 0.4274 0.4274
Li 0.5726 0.5726 0.5726
Ta 0.0000 0.0000 0.0000
S 0.2296 0.7627 0.7627
S 0.2373 0.2373 0.7704
S 0.2373 0.7704 0.2373
S 0.7627 0.2296 0.7627
S 0.7627 0.7627 0.2296
S 0.7704 0.2373 0.2373

Raw formation energy   -122 kJ per mole of atoms
SG   R-3m (166)

A plane-wave DFT calculation with PBE was carried out for crystalline BaLiTaS4 at its relaxed geometry.

Cell lengths 7.6053, 6.9872, 8.4170 Å; angles 90.00, 111.45, 90.00 degrees
Sites, in units of the cell vectors:
Ba 0.2480 0.2500 0.4740
Ba 0.7520 0.7500 0.5260
Li 0.2148 0.2500 0.0175
Li 0.7852 0.7500 0.9825
Ta 0.2328 0.7500 0.1751
Ta 0.7672 0.2500 0.8249
S 0.0321 0.7500 0.3232
S 0.0663 0.7500 0.8921
S 0.4317 0.0081 0.2462
S 0.4317 0.4919 0.2462
S 0.5683 0.5081 0.7538
S 0.5683 0.9919 0.7538
S 0.9337 0.2500 0.1079
S 0.9679 0.2500 0.6768

Raw formation energy   -132 kJ per mole of atoms
SG   P2_1/m (11)

A plane-wave DFT calculation with PBE was carried out for crystalline BaLiTbS3 at its relaxed geometry.

Cell lengths 8.5960, 4.1016, 8.9225 Å; angles 90.00, 105.02, 90.00 degrees
Sites, in units of the cell vectors:
Ba 0.1934 0.2500 0.2416
Ba 0.8066 0.7500 0.7584
Li 0.0858 0.2500 0.5915
Li 0.9142 0.7500 0.4085
Tb 0.3296 0.7500 0.8388
Tb 0.6704 0.2500 0.1612
S 0.1192 0.2500 0.8663
S 0.2029 0.7500 0.5241
S 0.4496 0.7500 0.1616
S 0.5504 0.2500 0.8384
S 0.7971 0.2500 0.4759
S 0.8808 0.7500 0.1337

Raw formation energy   -186 kJ per mole of atoms
SG   P2_1/m (11)

A plane-wave DFT calculation with PBE was carried out for crystalline BaLiTb2S4 at its relaxed geometry.

Cell lengths 7.0165, 7.0165, 13.7531 Å; angles 90.00, 90.00, 146.35 degrees
Sites, in units of the cell vectors:
Ba 0.1144 0.8856 0.7500
Ba 0.8856 0.1144 0.2500
Li 0.1574 0.8426 0.2500
Li 0.8426 0.1574 0.7500
Tb 0.3721 0.6279 0.5550
Tb 0.3721 0.6279 0.9450
Tb 0.6279 0.3721 0.0550
Tb 0.6279 0.3721 0.4450
S 0.0000 0.0000 0.0000
S 0.0000 0.0000 0.5000
S 0.2644 0.7356 0.1136
S 0.2644 0.7356 0.3864
S 0.4338 0.5662 0.7500
S 0.5662 0.4338 0.2500
S 0.7356 0.2644 0.6136
S 0.7356 0.2644 0.8864

Raw formation energy   -189 kJ per mole of atoms
SG   Cmcm (63)